(1)
DFT (GGA-PBEsol) results for crystalline La2TeRu at its relaxed geometry.

- Polymorph energy (0 for the lowest one): 0.84 eV per formula unit
- DOS(E_F): 3.73 states/eV per cell
- E_form (uncorrected): -0.48 eV per atom
- Spin magnetization: 0.001 μB/f.u.
- DFT total energy: -6.57 eV/atom
- Space group: No. 160

abc: 4.4710 4.4710 7.5937
angles: 72.88 72.88 60.00
Closest atoms and distances in Å follow each position.
Positions (direct):
La: 0.9637 0.9637 0.1090  3 Te 3.11, 3 Ru 3.36
Te: 0.2160 0.2160 0.3521  3 Ru 2.61
La: 0.7902 0.7902 0.6295  3 Ru 3.02, 3 Te 3.25
Ru: 0.5302 0.5302 0.4093  3 Te 2.61



(2)
DFT (GGA-PBEsol) results for crystalline NaLiIn2 at its relaxed geometry.

- DOS(E_F): 1.58 states/eV per cell
- Spin magnetization: 0.000 μB/f.u.
- DFT total energy: -2.47 eV/atom
- Space group: No. 225

abc: 5.0081 5.0081 5.0081
angles: 60.00 60.00 60.00
Closest atoms and distances in Å follow each position.
Positions (direct):
Li: 0.0000 0.0000 0.0000  8 In 3.07
Na: 0.5000 0.5000 0.5000  8 In 3.07
In: 0.2500 0.2500 0.2500  4 Na 3.07, 4 Li 3.07
In: 0.7500 0.7500 0.7500  4 Li 3.07, 4 Na 3.07



(3)
DFT (GGA-PBEsol) results for crystalline RbTa2CdGa at its relaxed geometry.

- DOS(E_F): 5.67 states/eV per cell
- Spin magnetization: 0.000 μB/f.u.
- DFT total energy: -3.35 eV/atom
- Space group: No. 123

abc: 4.8642 4.8642 5.1759
angles: 90.00 90.00 90.00
Closest atoms and distances in Å follow each position.
Positions (direct):
Ta: 0.0000 0.5000 0.0000  2 Rb 2.43
Ta: 0.5000 0.0000 0.0000  2 Rb 2.43
Rb: 0.0000 0.0000 0.0000  4 Ta 2.43, 2 Ga 2.59
Cd: 0.5000 0.5000 0.5000  4 Ga 3.44, 8 Ta 3.55
Ga: 0.0000 0.0000 0.5000  2 Rb 2.59



Question: DFT total energy of number 1 (La2TeRu)?
Answer: -6.57 eV/atom